No. 1
A plane-wave DFT calculation with PBE-GGA was carried out for an optimized crystal structure of Gd2ZnRh.

## Properties
mass density = 9.14 Mg/m³
formation energy from the elements = -0.56 eV/atom
E above lowest polymorph = 0.010 eV per atom

Cell: 4.988 4.988 4.988 Å, 60.00 60.00 60.00°
Each line ends with the local moment (μB).
Positions (direct):
Zn 0.000 0.000 0.000  0.01
Gd 0.250 0.250 0.250  -7.00
Gd 0.750 0.750 0.750  -7.00
Rh 0.500 0.500 0.500  0.09

---

No. 2
A plane-wave DFT calculation with PBE-GGA was carried out for an optimized crystal structure of Ba3AlTc.

## Properties
mass density = 4.53 Mg/m³
formation energy from the elements = 0.57 eV/atom
E above lowest polymorph = 0.000 eV per atom

Cell: 5.816 5.816 5.816 Å, 90.00 90.00 90.00°
Positions (direct):
Ba 0.500 0.000 0.000
Ba 0.000 0.000 0.500
Ba 0.000 0.500 0.000
Al 0.500 0.500 0.500
Tc 0.000 0.000 0.000